Material: Cs3TaCo
Method: DFT, GGA-PBEsol
State: relaxed

Values from the calculation:
ΔE_f   1943 meV/atom
Crystal system   cubic

abc: 5.9531 5.9531 5.9531
angles: 90.00 90.00 90.00
Closest atoms and distances in Å follow each position.
Space group Pm-3m (No. 221)
Inequivalent atoms, fractional coordinates:
Cs 0.0000 0.0000 0.5000 x3  2 Co 2.98
Ta 0.5000 0.5000 0.5000 x1  12 Cs 4.21
Co 0.0000 0.0000 0.0000 x1  6 Cs 2.98